! Hf3CoBr (PBE, relaxed); values from VASP
&SYSTEM
  ibrav = 0, nat = 5, ntyp = 3
/
ATOMIC_SPECIES
Hf 178.49 Hf.upf
Co 58.93 Co.upf
Br 79.90 Br.upf
CELL_PARAMETERS angstrom
4.853 0.000 0.000
0.000 4.853 0.000
0.000 0.000 4.853
ATOMIC_POSITIONS angstrom
Hf 0.000 0.000 2.427
Hf 0.000 2.427 0.000
Hf 2.427 0.000 0.000
Co 0.000 0.000 0.000
Br 2.427 2.427 2.427
! ΔE to the lowest computed polymorph: 0 meV per atom
! V: 114.32 Å³/cell
! uncorrected formation energy: 0.269 eV/atom